DFT (GGA-PBE) results for a relaxed structure of HgAsRh3.

a b c (Å): 4.927 4.927 4.927
angles (deg): 90.00 90.00 90.00
Element x y z (fractional)
Rh 0.000 0.500 0.000
Rh 0.000 0.000 0.500
Rh 0.500 0.000 0.000
Hg 0.000 0.000 0.000
As 0.500 0.500 0.500

Summary:
Total moment, μB/f.u.: 2.6
Symmetry: Pm-3m (221)
ΔH_f (0 K), eV/atom: 1.72
ρ, g/cm3: 8.112